1.
Compound: LiHfCo2
Source: the Alexandria database
Functional: GGA-PBEsol
Structure: optimized geometry

For the magnetic moment, the calculation gives 0.213 μB/atom.

The structure belongs to space group I-42d (No. 122); the cell edges are 6.412, 6.412 and 5.107 Å and the angles 90.00°, 90.00° and 90.00°. The asymmetric unit holds Li at (0.000, 0.000, 0.000), Hf at (0.000, 0.000, 0.500) and Co at (0.225, 0.750, 0.125).



2.
Compound: LuHfCo2
Source: the Alexandria database
Functional: GGA-PBEsol
Structure: optimized geometry

For the magnetic moment, the calculation gives 0.193 μB/atom.

The structure belongs to space group Fm-3m (No. 225); the cell edges are 6.299, 6.299 and 6.299 Å and the angles 90.00°, 90.00° and 90.00°. The asymmetric unit holds Lu at (0.000, 0.000, 0.000), Hf at (0.000, 0.000, 0.500) and Co at (0.250, 0.250, 0.250).



Asked for DFT formation energy across the records above, the calculation gives 1.31, -1.32 eV/f.u. in order.